Density functional theory data (GGA-PBE) for an optimized crystal structure of CaCd2Au.

Lattice parameters (Å, degrees): 3.7435 3.7435 6.7357 90.00 90.00 90.00
With the nearest neighbours (Å) after each atom.
Space group P4mm (No. 99)
Symmetry-distinct sites (fractional):
Ca 0.0000 0.0000 0.0000 (multiplicity 1)  4 Au 3.09, 5 Cd 3.19-3.32
Cd 0.0000 0.0000 0.5270 (multiplicity 1)  4 Cd 3.07, 4 Au 3.08, 1 Ca 3.19
Cd 0.5000 0.5000 0.2963 (multiplicity 1)  4 Cd 3.07, 1 Au 3.14, 4 Ca 3.32
Au 0.5000 0.5000 0.7622 (multiplicity 1)  5 Cd 3.08-3.14, 4 Ca 3.09

Output
total magnetic moment = 0.00 μB per formula unit
calculated formation energy = -8.639 kcal/mol of atoms
D(E_F) = 0.319 states/eV per atom
energy = -2.152 eV/atom